[1]
PBE SrScP2, relaxed; space group = No. 99; E above lowest polymorph = 211.4 meV/atom
1.0
4.0654 0.0051 0.0000
-0.0053 4.0654 0.0000
0.0000 0.0000 5.6961
P Sr Sc
2 1 1
direct
0.5000 0.5000 0.3747
0.0000 0.0000 0.8761
0.5000 0.5000 0.8746
0.0000 0.0000 0.3746



[2]
PBE SrScP2, relaxed; space group = No. 119; E above lowest polymorph = 452.2 meV/atom
1.0
6.0103 -0.0011 0.0000
3.2890 5.0306 0.0000
-4.6497 -2.5147 2.8602
Sc P Sr
1 2 1
direct
0.5000 0.5000 0.0000
0.0000 0.0000 0.0000
0.2500 0.7500 0.5000
0.7500 0.2500 0.5000



[3]
PBE SrScP2, relaxed; space group = No. 25; E above lowest polymorph = 263.9 meV/atom
1.0
5.0987 0.0000 0.0000
0.0000 4.1068 0.0199
0.0000 -0.0289 4.8342
P Sc Sr
2 1 1
direct
0.0000 0.1593 0.8748
0.5000 0.2574 0.3750
0.0000 0.3344 0.3750
0.5000 0.7489 0.8753



[4]
PBE SrScP4, relaxed; space group = No. 216; total DFT energy (no corrections) = -5.044 eV per atom
1.0
1.0057 2.3172 4.7836
-2.4753 4.6192 1.3416
-3.7991 0.0133 3.8510
Sc P Sr
1 4 1
direct
0.7500 0.7500 0.7500
0.3813 0.8562 0.3813
0.3813 0.3813 0.8562
0.8562 0.3813 0.3813
0.3813 0.3813 0.3813
0.0000 0.0000 0.0000



[5]
PBE SrSc2P, relaxed; space group = No. 38; total DFT energy (no corrections) = -5.443 eV per atom
1.0
2.7999 0.3832 6.0599
-5.4525 1.4842 -3.5744
-1.6832 -3.7408 1.0143
Sr P Sc
1 1 2
direct
0.5273 0.4727 0.0000
0.9179 0.0821 0.5000
0.2645 0.7355 0.5000
0.8040 0.1960 0.0000



[6]
PBE Sr3ScP3, relaxed; space group = No. 14; total DFT energy (no corrections) = -5.113 eV per atom
1.0
-1.9174 -4.3663 -6.0316
-1.5988 -6.7537 5.3974
-11.3487 4.5851 0.2885
P Sr Sc
12 12 4
direct
0.3944 0.7400 0.4849
0.8944 0.2600 0.0151
0.5766 0.6251 0.8351
0.9469 0.9105 0.6337
0.9234 0.6251 0.3351
0.4234 0.3749 0.1649
0.6056 0.2600 0.5151
0.1056 0.7400 0.9849
0.5531 0.9105 0.1337
0.0766 0.3749 0.6649
0.4469 0.0895 0.8663
0.0531 0.0895 0.3663
0.2654 0.6795 0.2065
0.7653 0.6002 0.0778
0.7346 0.3205 0.7935
0.1649 0.0879 0.1297
0.3351 0.0879 0.6297
0.7654 0.3205 0.2935
0.2346 0.6795 0.7065
0.2653 0.3998 0.4222
0.2347 0.3998 0.9222
0.7347 0.6002 0.5778
0.6649 0.9121 0.3703
0.8351 0.9121 0.8703
0.4096 0.8309 0.9489
0.9096 0.1691 0.5511
0.5904 0.1691 0.0511
0.0904 0.8309 0.4489



[7]
PBE SrScP2, relaxed; space group = No. 65; E above lowest polymorph = 224.2 meV/atom
1.0
-2.3359 -2.4463 -0.5674
2.8965 -1.8205 -0.2427
-0.2822 -1.4199 7.2829
Sr Sc P
1 1 2
direct
0.5000 0.5000 0.7500
0.5000 0.5000 0.2500
0.0000 0.0000 0.4640
0.0000 0.0000 0.0360



[8]
PBE SrScP2, relaxed; space group = No. 71; E above lowest polymorph = 304.2 meV/atom
1.0
5.1467 -0.0006 -0.0012
0.0393 5.1465 0.0012
-1.8430 -3.3288 3.4657
Sc P Sr
1 2 1
direct
0.7500 0.2500 0.5000
0.5324 0.5324 0.0000
0.9676 0.9676 0.0000
0.2500 0.7500 0.5000



[9]
PBE SrScP, relaxed; space group = No. 129; E above lowest polymorph = 0.0 meV/atom
1.0
4.2251 0.0000 0.0000
0.0000 4.2251 0.0000
0.0000 0.0000 9.5321
Sr P Sc
2 2 2
direct
0.5000 0.0000 0.1829
0.0000 0.5000 0.8171
0.5000 0.0000 0.6716
0.0000 0.5000 0.3284
0.0000 0.0000 0.5000
0.5000 0.5000 0.5000



[10]
PBE SrSc2P, relaxed; space group = No. 119; total DFT energy (no corrections) = -5.028 eV per atom
1.0
-2.1598 2.1598 5.0066
2.1598 -2.1598 5.0066
2.1598 2.1598 -5.0066
P Sc Sr
1 2 1
direct
0.7500 0.2500 0.5000
0.0000 0.0000 0.0000
0.2500 0.7500 0.5000
0.5000 0.5000 0.0000



[11]
PBE SrScP, relaxed; space group = No. 216; E above lowest polymorph = 1373.3 meV/atom
1.0
-0.5138 -4.0383 -2.8512
-3.7064 -0.2560 -3.3012
0.9837 0.2515 -4.8652
Sr Sc P
1 1 1
direct
0.2500 0.2500 0.2500
0.5000 0.5000 0.5000
0.0000 0.0000 0.0000



[12]
PBE SrSc2P, relaxed; space group = No. 166; total DFT energy (no corrections) = -5.440 eV per atom
1.0
2.1532 0.0000 9.7273
-1.0766 1.8648 9.7273
-1.0766 -1.8648 9.7273
Sr P Sc
1 1 2
direct
0.0000 0.0000 0.0000
0.5000 0.5000 0.5000
0.1189 0.1189 0.1189
0.8811 0.8811 0.8811